Entry 1:
A relaxed Er3RhPb2 crystal. Source: Alexandria, functional PBE.

Output
Its energy relative to the lowest polymorph listed for this composition is 0.0 meV per atom. For the total moment, the calculation gives 0.00 μB/f.u.

Structure (CIF):
```
data_Er3RhPb2
_chemical_formula_sum 'Er12 Rh4 Pb8'
_cell_length_a 12.481
_cell_length_b 4.369
_cell_length_c 11.659
_cell_angle_alpha 90.00
_cell_angle_beta 90.00
_cell_angle_gamma 90.00
_space_group_name_H-M_alt 'P n m a'
_space_group_IT_number 62
loop_
_space_group_symop_operation_xyz
'x,y,z'
'-x,-y,-z'
'-x+1/2,-y,z+1/2'
'x+1/2,y,-z+1/2'
'x+1/2,-y+1/2,-z+1/2'
'-x+1/2,y+1/2,z+1/2'
'-x,y+1/2,-z'
'x,-y+1/2,z'
loop_
_atom_site_label
_atom_site_type_symbol
_atom_site_fract_x
_atom_site_fract_y
_atom_site_fract_z
_atom_site_occupancy
Er1 Er 0.054 0.250 0.132 1
Er2 Er 0.121 0.750 0.540 1
Er3 Er 0.250 0.250 0.786 1
Rh1 Rh 0.126 0.250 0.368 1
Pb1 Pb 0.013 0.250 0.694 1
Pb2 Pb 0.183 0.750 0.998 1
```

=====

Entry 2:
A relaxed Cr2CuTe crystal. Source: Alexandria, functional PBE.

Output
The formation energy (no corrections) is 1.343 eV/f.u. For the total moment, the calculation gives 0.22 μB/f.u.

Structure (CIF):
```
data_Cr2CuTe
_chemical_formula_sum 'Cr2 Cu1 Te1'
_cell_length_a 3.386
_cell_length_b 3.386
_cell_length_c 5.725
_cell_angle_alpha 90.00
_cell_angle_beta 90.00
_cell_angle_gamma 90.00
_space_group_name_H-M_alt 'P 4 m m'
_space_group_IT_number 99
loop_
_space_group_symop_operation_xyz
'x,y,z'
'-y,x,z'
'-x,-y,z'
'y,-x,z'
'-x,y,z'
'y,x,z'
'x,-y,z'
'-y,-x,z'
loop_
_atom_site_label
_atom_site_type_symbol
_atom_site_fract_x
_atom_site_fract_y
_atom_site_fract_z
_atom_site_occupancy
Cr1 Cr 0.000 0.000 0.000 1
Cr2 Cr 0.500 0.500 0.219 1
Cu1 Cu 0.000 0.000 0.444 1
Te1 Te 0.500 0.500 0.726 1
```

=====

Entry 3:
A relaxed Pr6Se5Br crystal. Source: Alexandria, functional PBE.

Output
The formation energy (no corrections) is -20.719 eV/f.u. For the total moment, the calculation gives 0.00 μB/f.u.

Structure (CIF):
```
data_Pr6Se5Br
_chemical_formula_sum 'Pr12 Se10 Br2'
_cell_length_a 7.456
_cell_length_b 12.788
_cell_length_c 7.395
_cell_angle_alpha 90.00
_cell_angle_beta 109.19
_cell_angle_gamma 90.00
_space_group_name_H-M_alt 'C 1 2/m 1'
_space_group_IT_number 12
loop_
_space_group_symop_operation_xyz
'x,y,z'
'-x,-y,-z'
'-x,y,-z'
'x,-y,z'
'x+1/2,y+1/2,z'
'-x+1/2,-y+1/2,-z'
'-x+1/2,y+1/2,-z'
'x+1/2,-y+1/2,z'
loop_
_atom_site_label
_atom_site_type_symbol
_atom_site_fract_x
_atom_site_fract_y
_atom_site_fract_z
_atom_site_occupancy
Pr1 Pr 0.231 0.000 0.255 1
Pr2 Pr 0.235 0.175 0.734 1
Se1 Se 0.000 0.000 0.500 1
Se2 Se 0.000 0.170 0.000 1
Se3 Se 0.000 0.343 0.500 1
Br1 Br 0.000 0.500 0.000 1
```

=====

no.,electronic total energy (eV per atom)
1,-5.343
2,-6.285
3,-5.708